No. 1
Ho7As5P after structural relaxation. Source: Alexandria via LeMat-Bulk, functional PBE.

Structure (POSCAR):
```
Ho7As5P
1.0
4.041 0.000 0.000
-2.021 6.708 0.008
0.000 -0.030 23.783
Ho As P
14 10 2
direct
0.817 0.633 0.821
0.817 0.633 0.679
0.637 0.274 0.464
0.557 0.114 0.750
0.363 0.727 0.536
0.364 0.727 0.964
0.912 0.825 0.107
0.637 0.274 0.036
0.184 0.368 0.179
0.088 0.176 0.606
0.088 0.177 0.894
0.912 0.824 0.393
0.184 0.368 0.321
0.444 0.888 0.250
0.274 0.548 0.074
0.546 0.093 0.148
0.727 0.453 0.574
0.000 0.000 0.500
0.454 0.909 0.852
0.000 0.001 0.000
0.274 0.547 0.426
0.454 0.908 0.648
0.727 0.454 0.926
0.546 0.092 0.352
0.203 0.405 0.750
0.798 0.596 0.250
```

Computed properties:
E_form: -1.37 eV/atom



No. 2
TlSbSe2N after structural relaxation. Source: Alexandria via LeMat-Bulk, functional PBE.

Structure (POSCAR):
```
TlSbSe2N
1.0
-5.393 0.779 0.453
-0.333 -4.276 3.391
0.628 2.488 3.199
Sb Se N Tl
1 2 1 1
direct
0.000 0.000 0.000
0.500 0.000 0.000
0.000 0.500 0.000
0.000 0.000 0.500
0.500 0.500 0.500
```

Computed properties:
formation energy from raw total energies: 0.532 eV/atom
energy above the most stable polymorph in this dataset: 0.000 eV/atom



Number 1: total DFT energy (no corrections) -6.044 eV per atom, DOS(E_F) 4.8 states/eV/f.u.. Number 2: total DFT energy (no corrections) -3.825 eV per atom, DOS(E_F) 5.2 states/eV/f.u..